Record 1
Compound: InCI3
Source: Alexandria
Functional: GGA-PBE
Structure: optimized geometry

a b c (Å): 5.9260 5.9260 5.9260
angles (deg): 90.00 90.00 90.00
Last column: nearest neighbours and their distance in Å.
Element x y z (fractional)
I (0.0000, 0.0000, 0.5000)  2 In 2.96
I (0.5000, 0.0000, 0.0000)  2 In 2.96
I (0.0000, 0.5000, 0.0000)  2 In 2.96
C (0.5000, 0.5000, 0.5000)  12 I 4.19
In (0.0000, 0.0000, 0.0000)  6 I 2.96

Calculated values
Crystal system = cubic
Raw formation energy = 6.659 eV/f.u.
Space group = Pm-3m, No. 221
Spin magnetization = 1.73 Bohr magnetons per cell

Record 2
Compound: InC2I
Source: Alexandria
Functional: GGA-PBE
Structure: optimized geometry

a b c (Å): 5.1142 5.1142 6.8117
angles (deg): 67.95 67.95 90.00
Last column: nearest neighbours and their distance in Å.
Element x y z (fractional)
C (0.6206, 0.1250, 0.2500)  2 In 2.30, 2 I 2.33
C (0.3750, 0.3794, 0.7500)  2 In 2.30, 2 I 2.33
C (0.1294, 0.6250, 0.2500)  2 In 2.30, 2 I 2.33
C (0.8750, 0.8706, 0.7500)  2 In 2.30, 2 I 2.33
In (0.2500, 0.7500, 0.5000)  4 C 2.30
In (0.5000, 0.5000, 0.0000)  4 C 2.30
I (0.7500, 0.2500, 0.5000)  4 C 2.33
I (0.0000, 0.0000, 0.0000)  4 C 2.33

Calculated values
Crystal system = tetragonal
Raw formation energy = 8.050 eV/f.u.
Space group = I-42d, No. 122
Spin magnetization = 0.00 Bohr magnetons per cell

Record 3
Compound: InCI2
Source: Alexandria
Functional: GGA-PBE
Structure: optimized geometry

a b c (Å): 4.3622 4.0111 7.9893
angles (deg): 90.00 102.69 90.00
Last column: nearest neighbours and their distance in Å.
Element x y z (fractional)
I (0.5345, 0.0000, 0.7104)  1 C 2.17
I (0.2671, 0.5000, 0.1910)  2 In 2.88-3.00
In (0.8875, 0.5000, 0.4445)  2 C 2.22
C (0.8996, 0.0000, 0.5649)  1 I 2.17, 2 In 2.22

Calculated values
Crystal system = monoclinic
Raw formation energy = 2.464 eV/f.u.
Space group = Pm, No. 6
Spin magnetization = 0.00 Bohr magnetons per cell

Record 4
Compound: In2CI
Source: Alexandria
Functional: GGA-PBE
Structure: optimized geometry

a b c (Å): 5.6115 5.6115 5.6115
angles (deg): 60.00 60.00 60.00
Last column: nearest neighbours and their distance in Å.
Element x y z (fractional)
In (0.7500, 0.7500, 0.7500)  4 I 3.44, 4 C 3.44
In (0.2500, 0.2500, 0.2500)  4 I 3.44, 4 C 3.44
C (0.0000, 0.0000, 0.0000)  8 In 3.44
I (0.5000, 0.5000, 0.5000)  8 In 3.44

Calculated values
Crystal system = cubic
Raw formation energy = 5.793 eV/f.u.
Space group = Fm-3m, No. 225
Spin magnetization = 2.96 Bohr magnetons per cell

Record 5
Compound: InCI2
Source: Alexandria
Functional: GGA-PBE
Structure: optimized geometry

a b c (Å): 3.9987 3.9937 8.7632
angles (deg): 91.84 91.12 93.02
Last column: nearest neighbours and their distance in Å.
Element x y z (fractional)
In (0.6008, 0.4015, 0.9688)  2 C 2.19
I (0.0828, 0.3747, 0.6295)  1 C 2.08
I (0.6103, 0.9192, 0.2126)  2 In 2.92
C (0.0960, 0.3938, 0.8670)  1 I 2.08, 2 In 2.19

Calculated values
Crystal system = triclinic
Raw formation energy = 2.602 eV/f.u.
Space group = P1, No. 1
Spin magnetization = 0.00 Bohr magnetons per cell

Record 6
Compound: In3CI
Source: Alexandria
Functional: GGA-PBE
Structure: optimized geometry

a b c (Å): 5.1064 5.1064 5.1064
angles (deg): 90.00 90.00 90.00
Last column: nearest neighbours and their distance in Å.
Element x y z (fractional)
In (0.0000, 0.5000, 0.0000)  2 C 2.55
In (0.0000, 0.0000, 0.5000)  2 C 2.55
In (0.5000, 0.0000, 0.0000)  2 C 2.55
I (0.5000, 0.5000, 0.5000)  12 In 3.61
C (0.0000, 0.0000, 0.0000)  6 In 2.55

Calculated values
Crystal system = cubic
Raw formation energy = 3.241 eV/f.u.
Space group = Pm-3m, No. 221
Spin magnetization = 0.00 Bohr magnetons per cell

Record 7
Compound: InCI2
Source: Alexandria
Functional: GGA-PBE
Structure: optimized geometry

a b c (Å): 3.8211 3.8211 9.0740
angles (deg): 90.00 90.00 120.00
Last column: nearest neighbours and their distance in Å.
Element x y z (fractional)
C (0.6667, 0.3333, 0.5313)  1 I 2.15, 3 In 2.30
I (0.0000, 0.0000, 0.1505)  1 In 2.82
I (0.6667, 0.3333, 0.7678)  1 C 2.15
In (0.0000, 0.0000, 0.4613)  3 C 2.30

Calculated values
Crystal system = trigonal
Raw formation energy = 2.283 eV/f.u.
Space group = P3m1, No. 156
Spin magnetization = 0.00 Bohr magnetons per cell

Record 8
Compound: InCI2N
Source: Alexandria
Functional: GGA-PBE
Structure: optimized geometry

a b c (Å): 7.3040 7.3040 2.7085
angles (deg): 90.00 90.00 90.00
Last column: nearest neighbours and their distance in Å.
Element x y z (fractional)
I (0.5000, 0.0000, 0.0000)  2 I 2.71
I (0.0000, 0.5000, 0.0000)  2 I 2.71
In (0.5000, 0.5000, 0.5000)  2 In 2.71
N (0.0000, 0.0000, 0.5000)  2 C 1.35
C (0.0000, 0.0000, 0.0000)  2 N 1.35

Calculated values
Crystal system = tetragonal
Raw formation energy = 4.436 eV/f.u.
Space group = P4/mmm, No. 123
Spin magnetization = 0.24 Bohr magnetons per cell

Record 9
Compound: InCIN2
Source: Alexandria
Functional: GGA-PBE
Structure: optimized geometry

a b c (Å): 4.1223 4.1223 4.4879
angles (deg): 90.00 90.00 90.00
Last column: nearest neighbours and their distance in Å.
Element x y z (fractional)
I (0.0000, 0.0000, 0.5000)  2 C 2.24
N (0.5000, 0.0000, 0.0000)  2 C 2.06
N (0.0000, 0.5000, 0.0000)  2 C 2.06
C (0.0000, 0.0000, 0.0000)  4 N 2.06, 2 I 2.24
In (0.5000, 0.5000, 0.5000)  4 I 2.91, 8 N 3.05

Calculated values
Crystal system = tetragonal
Raw formation energy = 12.474 eV/f.u.
Space group = P4/mmm, No. 123
Spin magnetization = 1.93 Bohr magnetons per cell

Record 10
Compound: InCI2N
Source: Alexandria
Functional: GGA-PBE
Structure: optimized geometry

a b c (Å): 5.9819 5.9819 4.1593
angles (deg): 90.00 90.00 90.00
Last column: nearest neighbours and their distance in Å.
Element x y z (fractional)
I (0.0000, 0.5000, 0.0000)  2 In 2.99
I (0.5000, 0.0000, 0.0000)  2 In 2.99
C (0.5000, 0.5000, 0.5000)  8 I 3.64
N (0.0000, 0.0000, 0.5000)  2 In 2.08
In (0.0000, 0.0000, 0.0000)  2 N 2.08

Calculated values
Crystal system = tetragonal
Raw formation energy = 9.861 eV/f.u.
Space group = P4/mmm, No. 123
Spin magnetization = 3.00 Bohr magnetons per cell

Record 11
Compound: InCI2N
Source: Alexandria
Functional: GGA-PBE
Structure: optimized geometry

a b c (Å): 5.2959 4.4562 5.2959
angles (deg): 90.00 90.00 90.00
Last column: nearest neighbours and their distance in Å.
Element x y z (fractional)
I (0.5000, 0.0000, 0.0000)  2 N 2.65
I (0.0000, 0.0000, 0.5000)  2 N 2.65
In (0.0000, 0.5000, 0.0000)  2 N 2.23
C (0.5000, 0.5000, 0.5000)  8 I 3.46, 4 In 3.74
N (0.0000, 0.0000, 0.0000)  2 In 2.23

Calculated values
Crystal system = tetragonal
Raw formation energy = 9.729 eV/f.u.
Space group = P4/mmm, No. 123
Spin magnetization = 1.81 Bohr magnetons per cell

Record 12
Compound: InCIN2
Source: Alexandria
Functional: GGA-PBE
Structure: optimized geometry

a b c (Å): 4.3033 4.3033 6.1575
angles (deg): 90.00 90.00 90.00
Last column: nearest neighbours and their distance in Å.
Element x y z (fractional)
I (0.0000, 0.0000, 0.5000)  4 C 3.04, 2 In 3.08
N (0.5000, 0.0000, 0.0000)  2 In 2.15
N (0.0000, 0.5000, 0.0000)  2 In 2.15
In (0.0000, 0.0000, 0.0000)  4 N 2.15
C (0.5000, 0.5000, 0.5000)  4 I 3.04

Calculated values
Crystal system = tetragonal
Raw formation energy = 12.850 eV/f.u.
Space group = P4/mmm, No. 123
Spin magnetization = 2.00 Bohr magnetons per cell